Density functional theory data (PBE) for a geometry-optimized La2ZrTe structure.

## Properties
* space group: No. 99
* calculated density: 6.8 g/cm³
* E_form (uncorrected): -468 meV per atom

a = 3.7924 Å, b = 3.7924 Å, c = 8.4010 Å
α = 90.00°, β = 90.00°, γ = 90.00°
Closest atoms and distances in Å follow each position.
Sites, in units of the cell vectors:
La  0.0000  0.0000  0.9640  4 Zr 3.46, 1 Te 3.52, 8 La 3.79-3.82
La  0.5000  0.5000  0.2876  4 Te 3.44, 1 Zr 3.50, 8 La 3.79-3.82
Te  0.0000  0.0000  0.5444  4 Zr 3.00
Zr  0.5000  0.5000  0.7040  4 Te 3.00

Density functional theory data (PBE) for a geometry-optimized LaZrTe2 structure.

## Properties
* space group: No. 99
* calculated density: 6.9 g/cm³
* E_form (uncorrected): -997 meV per atom
* distance to the lowest polymorph of the same formula: 0.25 eV per formula unit

a = 4.2138 Å, b = 4.2136 Å, c = 6.6111 Å
α = 90.00°, β = 90.00°, γ = 90.00°
Closest atoms and distances in Å follow each position.
Sites, in units of the cell vectors:
La  0.5000  0.5000  0.7989  6 Te 3.10-3.43
Te  0.0000  0.0000  0.9285  4 La 3.10, 1 Zr 3.13
Te  0.5000  0.5000  0.3174  4 Zr 3.12, 2 La 3.18-3.43
Zr  0.0000  0.0000  0.4552  6 Te 3.12-3.48

Density functional theory data (PBE) for a geometry-optimized La2ZrTe structure.

## Properties
* space group: No. 216
* calculated density: 7.3 g/cm³
* E_form (uncorrected): -181 meV per atom

a = 5.4193 Å, b = 5.4193 Å, c = 5.4193 Å
α = 60.00°, β = 60.00°, γ = 60.00°
Closest atoms and distances in Å follow each position.
Sites, in units of the cell vectors:
La  0.0000  0.0000  0.0000  4 Zr 3.32, 4 La 3.32
La  0.2500  0.2500  0.2500  4 La 3.32, 4 Te 3.32
Te  0.5000  0.5000  0.5000  4 Zr 3.32, 4 La 3.32
Zr  0.7500  0.7500  0.7500  4 La 3.32, 4 Te 3.32

Density functional theory data (PBE) for a geometry-optimized La2ZrTe structure.

## Properties
* space group: No. 71
* calculated density: 7.2 g/cm³
* E_form (uncorrected): -291 meV per atom

a = 6.0523 Å, b = 6.0523 Å, c = 6.0523 Å
α = 133.58°, β = 133.20°, γ = 68.04°
Closest atoms and distances in Å follow each position.
Sites, in units of the cell vectors:
La  0.0020  0.0020  0.0000  4 La 3.39, 4 Zr 3.45-3.49, 4 Te 3.46-3.48
La  0.4980  0.4980  0.0000  4 La 3.39, 4 Zr 3.45-3.49, 4 Te 3.46-3.48
Te  0.7500  0.2500  0.5000  4 Zr 3.39, 8 La 3.46-3.48
Zr  0.2500  0.7500  0.5000  4 Te 3.39, 8 La 3.45-3.49

Density functional theory data (PBE) for a geometry-optimized La2ZrTe structure.

## Properties
* space group: No. 8
* calculated density: 6.9 g/cm³
* E_form (uncorrected): -492 meV per atom

a = 6.3545 Å, b = 6.3545 Å, c = 5.5896 Å
α = 74.42°, β = 74.42°, γ = 33.67°
Closest atoms and distances in Å follow each position.
Sites, in units of the cell vectors:
La  0.9825  0.9825  0.0548  1 Zr 3.21, 4 Te 3.37-3.42
La  0.7750  0.7750  0.6841  3 Te 3.32-3.50, 4 Zr 3.39-3.46, 4 La 3.68-3.71
Te  0.5303  0.5303  0.5313  2 Zr 3.01, 1 La 3.32
Zr  0.2122  0.2122  0.2298  2 Te 3.01, 1 La 3.21

Density functional theory data (PBE) for a geometry-optimized LaZrTe2 structure.

## Properties
* space group: No. 38
* calculated density: 6.7 g/cm³
* E_form (uncorrected): -979 meV per atom
* distance to the lowest polymorph of the same formula: 0.32 eV per formula unit

a = 5.5368 Å, b = 3.9496 Å, c = 5.8462 Å
α = 70.21°, β = 90.00°, γ = 90.00°
Closest atoms and distances in Å follow each position.
Sites, in units of the cell vectors:
La  0.5000  0.6542  0.8168  3 Te 3.09-3.12
Te  0.0000  0.0916  0.9417  3 Zr 3.05-3.18
Te  0.5000  0.3738  0.3784  2 Zr 2.77, 1 La 3.09
Zr  0.0000  0.3804  0.3631  4 Te 2.77-3.05

Density functional theory data (PBE) for a geometry-optimized La2ZrTe structure.

## Properties
* space group: No. 160
* calculated density: 6.7 g/cm³
* E_form (uncorrected): -400 meV per atom

a = 10.1486 Å, b = 10.1486 Å, c = 10.1486 Å
α = 21.50°, β = 21.50°, γ = 21.50°
Closest atoms and distances in Å follow each position.
Sites, in units of the cell vectors:
La  0.0061  0.0061  0.0061  3 Zr 3.41, 9 La 3.66-3.79
La  0.2408  0.2408  0.2408  3 Te 3.27, 3 La 3.66
Te  0.4924  0.4924  0.4924  3 Zr 2.92, 3 La 3.27
Zr  0.7607  0.7607  0.7607  3 Te 2.92

Density functional theory data (PBE) for a geometry-optimized LaZrTe2 structure.

## Properties
* space group: No. 225
* calculated density: 7.6 g/cm³
* E_form (uncorrected): -1019 meV per atom
* distance to the lowest polymorph of the same formula: 0.16 eV per formula unit

a = 5.3100 Å, b = 5.3100 Å, c = 5.3100 Å
α = 60.00°, β = 60.00°, γ = 60.00°
Closest atoms and distances in Å follow each position.
Sites, in units of the cell vectors:
Te  0.2500  0.2500  0.2500  4 La 3.25, 4 Zr 3.25
Te  0.7500  0.7500  0.7500  4 Zr 3.25, 4 La 3.25
Zr  0.0000  0.0000  0.0000  8 Te 3.25
La  0.5000  0.5000  0.5000  8 Te 3.25

Density functional theory data (PBE) for a geometry-optimized La2ZrTe structure.

## Properties
* space group: No. 122
* calculated density: 6.7 g/cm³
* E_form (uncorrected): -136 meV per atom

a = 8.8183 Å, b = 8.8183 Å, c = 6.9990 Å
α = 50.95°, β = 50.95°, γ = 90.00°
Closest atoms and distances in Å follow each position.
Sites, in units of the cell vectors:
Te  0.0000  0.0000  0.0000  4 La 3.17, 2 Zr 3.18
Te  0.7500  0.2500  0.5000  4 La 3.17, 2 Zr 3.18
Zr  0.5000  0.5000  0.0000  2 Te 3.18, 4 La 3.26
Zr  0.2500  0.7500  0.5000  2 Te 3.18, 4 La 3.26
La  0.6322  0.1250  0.2500  2 Te 3.17, 2 La 3.18, 2 Zr 3.26
La  0.1178  0.6250  0.2500  2 Te 3.17, 2 La 3.18, 2 Zr 3.26
La  0.3750  0.3678  0.7500  2 Te 3.17, 2 La 3.18, 2 Zr 3.26
La  0.8750  0.8822  0.7500  2 Te 3.17, 2 La 3.18, 2 Zr 3.26

Density functional theory data (PBE) for a geometry-optimized LaZr3Te structure.

## Properties
* space group: No. 221
* calculated density: 6.4 g/cm³
* E_form (uncorrected): 1085 meV per atom
* distance to the lowest polymorph of the same formula: 3.99 eV per formula unit

a = 5.1863 Å, b = 5.1863 Å, c = 5.1863 Å
α = 90.00°, β = 90.00°, γ = 90.00°
Closest atoms and distances in Å follow each position.
Sites, in units of the cell vectors:
Te  0.5000  0.5000  0.5000  12 Zr 3.67
Zr  0.0000  0.5000  0.0000  2 La 2.59
Zr  0.0000  0.0000  0.5000  2 La 2.59
Zr  0.5000  0.0000  0.0000  2 La 2.59
La  0.0000  0.0000  0.0000  6 Zr 2.59

Density functional theory data (PBE) for a geometry-optimized LaZrTe2 structure.

## Properties
* space group: No. 166
* calculated density: 6.9 g/cm³
* E_form (uncorrected): -1059 meV per atom
* distance to the lowest polymorph of the same formula: 0.00 eV per formula unit

a = 4.4092 Å, b = 4.4092 Å, c = 7.3978 Å
α = 72.67°, β = 72.67°, γ = 60.00°
Closest atoms and distances in Å follow each position.
Sites, in units of the cell vectors:
La  0.2500  0.2500  0.2500  6 Te 3.19
Te  0.0091  0.0091  0.9729  3 Zr 2.98, 3 La 3.19
Te  0.4909  0.4909  0.5271  3 Zr 2.98, 3 La 3.19
Zr  0.7500  0.7500  0.7500  6 Te 2.98

Density functional theory data (PBE) for a geometry-optimized La2ZrTe2 structure.

## Properties
* space group: No. 139
* calculated density: 5.7 g/cm³
* E_form (uncorrected): -532 meV per atom

a = 6.4092 Å, b = 6.4092 Å, c = 6.4092 Å
α = 121.47°, β = 121.47°, γ = 87.47°
Closest atoms and distances in Å follow each position.
Sites, in units of the cell vectors:
La  0.2500  0.7500  0.5000  4 Te 3.18
La  0.7500  0.2500  0.5000  4 Te 3.18
Zr  0.0000  0.0000  0.0000  2 Te 2.87
Te  0.6898  0.6898  0.0000  1 Zr 2.87, 4 La 3.18
Te  0.3102  0.3102  0.0000  1 Zr 2.87, 4 La 3.18

Density functional theory data (PBE) for a geometry-optimized LaZrTe2 structure.

## Properties
* space group: No. 216
* calculated density: 7.2 g/cm³
* E_form (uncorrected): -250 meV per atom
* distance to the lowest polymorph of the same formula: 3.24 eV per formula unit

a = 5.4136 Å, b = 5.4136 Å, c = 5.4136 Å
α = 60.00°, β = 60.00°, γ = 60.00°
Closest atoms and distances in Å follow each position.
Sites, in units of the cell vectors:
La  0.5000  0.5000  0.5000  4 Zr 3.32, 4 Te 3.32
Te  0.0000  0.0000  0.0000  4 Te 3.32, 4 Zr 3.32
Te  0.2500  0.2500  0.2500  4 La 3.32, 4 Te 3.32
Zr  0.7500  0.7500  0.7500  4 La 3.32, 4 Te 3.32

Density functional theory data (PBE) for a geometry-optimized La2ZrTe structure.

## Properties
* space group: No. 65
* calculated density: 7.2 g/cm³
* E_form (uncorrected): -514 meV per atom

a = 5.6621 Å, b = 5.6621 Å, c = 3.7624 Å
α = 90.00°, β = 90.00°, γ = 108.81°
Closest atoms and distances in Å follow each position.
Sites, in units of the cell vectors:
La  0.0000  0.0000  0.0000  2 La 3.30, 4 Te 3.40, 4 Zr 3.40
La  0.5000  0.5000  0.0000  2 La 3.30, 4 Zr 3.40, 4 Te 3.40
Te  0.5000  0.0000  0.5000  2 Zr 3.30, 8 La 3.40
Zr  0.0000  0.5000  0.5000  2 Te 3.30, 8 La 3.40